Density functional theory data (PBE) for Ce2PrGe after structural relaxation.

abc: 3.963 3.963 7.177
angles: 90.00 90.00 90.00
Last column: magnetic moment on the atom in μB.
Atoms (fractional coordinates):
Pr 0.500 0.500 0.500  0.15
Ge 0.500 0.500 0.000  -0.02
Ce 0.000 0.000 0.812  0.67
Ce 0.000 0.000 0.188  0.67

Output
**Total DFT energy (no corrections)**: -5.649 eV per atom
**Total moment**: 2.0 μB per formula unit
**N(E_F)**: 10.06 states/eV per cell
**Space-group type**: P4/mmm (123)
**Formation enthalpy at 0 K**: -333 meV per atom

***

Density functional theory data (PBE) for ZnS after structural relaxation.

abc: 3.846 3.846 6.307
angles: 90.00 90.00 120.00
Atoms (fractional coordinates):
Zn 0.333 0.667 0.728
Zn 0.667 0.333 0.228
S 0.333 0.667 0.354
S 0.667 0.333 0.854

Output
**Formation energy (no corrections)**: -805 meV per atom
**Total DFT energy (no corrections)**: -3.506 eV per atom
**Total moment**: 0.0 μB per formula unit
**N(E_F)**: 0.00 states/eV per cell
**Space-group type**: P6_3mc (186)